1.
# PBE Er2Be2ZnPt5, relaxed
data_Er2Be2ZnPt5
_chemical_formula_sum 'Er4 Be4 Zn2 Pt10'
_symmetry_space_group_name_H-M 'P 4/m b m'
_symmetry_Int_Tables_number 127
_symmetry_space_group_name_Hall '-P 4 2ab'
_cell_length_a 9.452
_cell_length_b 9.452
_cell_length_c 3.499
_cell_angle_alpha 90.00
_cell_angle_beta 90.00
_cell_angle_gamma 90.00
loop_
_atom_site_label
_atom_site_type_symbol
_atom_site_fract_x
_atom_site_fract_y
_atom_site_fract_z
Er1 Er 0.178 0.322 0.000
Be1 Be 0.120 0.620 0.000
Zn1 Zn 0.000 0.000 0.000
Pt1 Pt 0.000 0.500 0.500
Pt2 Pt 0.067 0.788 0.500
# Density: 14.80 g cm⁻³
# Fermi-level density of states: 8.249 states/eV per cell
# Total magnetic moment: 0.0 Bohr magnetons per cell
# Energy relative to the elements: -0.994 eV per atom
# E_tot: -115.98 eV per cell

---

2.
# PBE Cu5HgCl12, relaxed
data_Cu5HgCl12
_chemical_formula_sum 'Cu5 Hg1 Cl12'
_symmetry_space_group_name_H-M 'P -1'
_symmetry_Int_Tables_number 2
_cell_length_a 5.883
_cell_length_b 6.519
_cell_length_c 13.017
_cell_angle_alpha 82.16
_cell_angle_beta 80.28
_cell_angle_gamma 65.92
loop_
_symmetry_equiv_pos_as_xyz
'x,y,z'
'-x,-y,-z'
loop_
_atom_site_label
_atom_site_type_symbol
_atom_site_fract_x
_atom_site_fract_y
_atom_site_fract_z
Cu1 Cu 0.000 0.000 0.000
Cu2 Cu 0.327 0.356 0.496
Cu3 Cu 0.334 0.333 0.000
Hg1 Hg 0.000 0.000 0.500
Cl1 Cl 0.022 0.419 0.391
Cl2 Cl 0.026 0.248 0.107
Cl3 Cl 0.308 0.085 0.893
Cl4 Cl 0.352 0.893 0.613
Cl5 Cl 0.358 0.581 0.107
Cl6 Cl 0.409 0.706 0.384
# Density: 3.50 g cm⁻³
# Raw formation energy: -464 meV per atom
# Fermi-level density of states: 0.772 states/eV per cell
# Total magnetic moment: 5.1 Bohr magnetons per cell
# E_tot: -51.30 eV per cell

---

3.
# PBE MnCuRu2, relaxed
data_MnCuRu2
_chemical_formula_sum 'Mn3 Cu3 Ru6'
_symmetry_space_group_name_H-M 'R 3 m'
_symmetry_Int_Tables_number 160
_symmetry_space_group_name_Hall 'R 3 -2"'
_cell_length_a 2.6925
_cell_length_b 2.6925
_cell_length_c 25.7211
_cell_angle_alpha 90.00
_cell_angle_beta 90.00
_cell_angle_gamma 120.00
loop_
_atom_site_label
_atom_site_type_symbol
_atom_site_fract_x
_atom_site_fract_y
_atom_site_fract_z
Mn1 Mn 0.0000 0.0000 0.0000
Cu1 Cu 0.0000 0.0000 0.2527
Ru1 Ru 0.0000 0.0000 0.5000
Ru2 Ru 0.0000 0.0000 0.7506
# Density: 9.89 g cm⁻³
# Fermi-level density of states: 13.864 states/eV per cell
# Total magnetic moment: 7.1 Bohr magnetons per cell
# Energy relative to the elements: 0.224 eV per atom
# E_tot: -92.77 eV per cell

---

4.
# PBE Dy4Tl2AgHg, relaxed
data_Dy4Tl2AgHg
_chemical_formula_sum 'Dy12 Tl6 Ag3 Hg3'
_symmetry_space_group_name_H-M 'R -3 m'
_symmetry_Int_Tables_number 166
_symmetry_space_group_name_Hall '-R 3 2"'
_cell_length_a 5.2891
_cell_length_b 5.2891
_cell_length_c 25.9332
_cell_angle_alpha 90.00
_cell_angle_beta 90.00
_cell_angle_gamma 120.00
loop_
_atom_site_label
_atom_site_type_symbol
_atom_site_fract_x
_atom_site_fract_y
_atom_site_fract_z
Dy1 Dy 0.0000 0.0000 0.1241
Dy2 Dy 0.0000 0.0000 0.3742
Tl1 Tl 0.0000 0.0000 0.2509
Ag1 Ag 0.0000 0.0000 0.0000
Hg1 Hg 0.0000 0.0000 0.5000
# Density: 10.84 g cm⁻³
# Fermi-level density of states: 23.320 states/eV per cell
# Total magnetic moment: 2.5 Bohr magnetons per cell
# Energy relative to the elements: -0.371 eV per atom
# E_tot: -87.80 eV per cell

---

5.
# PBE Sm6GeOs2Br3, relaxed
data_Sm6GeOs2Br3
_chemical_formula_sum 'Sm12 Ge2 Os4 Br6'
_symmetry_space_group_name_H-M 'C 1 2/m 1'
_symmetry_Int_Tables_number 12
_cell_length_a 7.208
_cell_length_b 12.497
_cell_length_c 8.003
_cell_angle_alpha 90.00
_cell_angle_beta 107.59
_cell_angle_gamma 90.00
loop_
_symmetry_equiv_pos_as_xyz
'x,y,z'
'-x,-y,-z'
'-x,y,-z'
'x,-y,z'
'x+1/2,y+1/2,z'
'-x+1/2,-y+1/2,-z'
'-x+1/2,y+1/2,-z'
'x+1/2,-y+1/2,z'
loop_
_atom_site_label
_atom_site_type_symbol
_atom_site_fract_x
_atom_site_fract_y
_atom_site_fract_z
Sm1 Sm 0.214 0.000 0.199
Sm2 Sm 0.242 0.324 0.199
Ge1 Ge 0.000 0.500 0.000
Os1 Os 0.000 0.167 0.000
Br1 Br 0.000 0.000 0.500
Br2 Br 0.000 0.336 0.500
# Density: 7.71 g cm⁻³
# Raw formation energy: -827 meV per atom
# Fermi-level density of states: 13.420 states/eV per cell
# Total magnetic moment: 0.0 Bohr magnetons per cell
# E_tot: -140.66 eV per cell

---

The lowest density belongs to which entry?
Cu5HgCl12

---

Which formula does entry 4 have?
Dy4Tl2AgHg

---

Among the records above, which one has the highest density?
Er2Be2ZnPt5

---

Number 5 is which compound?
Sm6GeOs2Br3